Record 1
## Sc2TlP (PBE)

Data for crystalline Sc2TlP at its relaxed geometry.

Lattice parameters (Å, degrees): 4.8721 4.8721 3.5309 90.00 90.00 101.22
Closest atoms and distances in Å follow each position.
Sites, in units of the cell vectors:
Sc  0.5000  0.0000  0.0000  4 Tl 3.01, 4 P 3.01, 2 Sc 3.09
Sc  0.0000  0.5000  0.0000  4 P 3.01, 4 Tl 3.01, 2 Sc 3.09
P  0.5000  0.5000  0.5000  8 Sc 3.01, 2 Tl 3.09
Tl  0.0000  0.0000  0.5000  8 Sc 3.01, 2 P 3.09

- M_tot (μB/atom) = 0.152
- offset from the most stable computed form (meV per atom) = 457
- space group = Cmmm, No. 65



Record 2
## ScTlP2 (PBE)

Data for crystalline ScTlP2 at its relaxed geometry.

Lattice parameters (Å, degrees): 4.8297 4.8297 4.8297 60.00 60.00 60.00
Closest atoms and distances in Å follow each position.
Sites, in units of the cell vectors:
P  0.7500  0.7500  0.7500  4 Sc 2.96, 4 P 2.96
Sc  0.5000  0.5000  0.5000  4 Tl 2.96, 4 P 2.96
Tl  0.2500  0.2500  0.2500  4 Sc 2.96, 4 P 2.96
P  0.0000  0.0000  0.0000  4 Tl 2.96, 4 P 2.96

- M_tot (μB/atom) = 0.000
- offset from the most stable computed form (meV per atom) = 725
- space group = F-43m, No. 216